Record 1
A plane-wave DFT calculation with GGA-PBE was carried out for a geometry-optimized ZnRe2Au structure.

a b c (Å): 4.9580 4.9580 4.7102
angles (deg): 79.69 79.69 32.84
Fractional positions:
Re 0.0024 0.0024 0.9932
Au 0.2500 0.2500 0.2500
Zn 0.7500 0.7500 0.7500
Re 0.4976 0.4976 0.5068

Results
As for the total energy: -7.00 eV/atom. As for the density: 17.1 Mg/m³. The calculation puts the formation enthalpy at 0 K at 1.4 eV/f.u.

***

Record 2
A plane-wave DFT calculation with GGA-PBE was carried out for a geometry-optimized Ag4Se2Cl5 structure.

a b c (Å): 4.0190 8.8551 8.7911
angles (deg): 103.23 103.69 93.60
Fractional positions:
Ag 0.3519 0.3582 0.6115
Ag 0.9917 0.2100 0.0100
Se 0.5527 0.6250 0.0778
Cl 0.1232 0.8280 0.3803
Ag 0.6481 0.6418 0.3885
Se 0.4473 0.3750 0.9222
Cl 0.2369 0.3848 0.3179
Cl 0.7631 0.6152 0.6821
Cl 0.5000 0.0000 0.0000
Ag 0.0083 0.7900 0.9900
Cl 0.8768 0.1720 0.6197

Results
The formation energy from raw total energies is -0.2988 eV per atom. As for the total energy: -2.81 eV/atom. As for the density: 4.3 Mg/m³.

***

Record 3
A plane-wave DFT calculation with GGA-PBE was carried out for a geometry-optimized ZrBe2As structure.

a b c (Å): 5.2376 5.0235 2.8241
angles (deg): 81.89 74.42 116.48
Fractional positions:
Zr 0.0000 0.5000 0.5000
Be 0.0000 0.0000 0.0000
Be 0.5000 0.0000 0.5000
As 0.5000 0.5000 0.0000

Results
As for the total energy: -5.00 eV/atom. As for the density: 5.0 Mg/m³. The calculation puts the formation enthalpy at 0 K at 0.6 eV/f.u.

***

Record 4
A plane-wave DFT calculation with GGA-PBE was carried out for a geometry-optimized TlNiRh2 structure.

a b c (Å): 4.7945 4.7945 4.7945
angles (deg): 130.79 130.79 72.15
Each line ends with the local moment (μB).
Fractional positions:
Rh 0.0000 0.0000 0.0000  0.44
Rh 0.2500 0.7500 0.5000  0.41
Ni 0.7500 0.2500 0.5000  0.49
Tl 0.5000 0.5000 0.0000  -0.02

Results
As for the total energy: -5.53 eV/atom. As for the density: 12.6 Mg/m³. The calculation puts the formation enthalpy at 0 K at 0.7 eV/f.u.

***

Record 5
A plane-wave DFT calculation with GGA-PBE was carried out for a geometry-optimized MnInGaFe2 structure.

a b c (Å): 4.3199 4.9550 4.3199
angles (deg): 90.00 90.00 90.00
Each line ends with the local moment (μB).
Fractional positions:
Fe 0.0000 0.0000 0.5000  2.46
Mn 0.0000 0.0000 0.0000  -0.38
Ga 0.5000 0.5000 0.5000  0.00
In 0.0000 0.5000 0.0000  0.00
Fe 0.5000 0.0000 0.0000  2.12

Results
As for the total energy: -5.38 eV/atom. As for the density: 6.3 Mg/m³. The calculation puts the formation enthalpy at 0 K at 5.0 eV/f.u.

***

Record 6
A plane-wave DFT calculation with GGA-PBE was carried out for a geometry-optimized LaS2BrN structure.

a b c (Å): 4.8777 4.8777 4.2236
angles (deg): 90.00 90.00 90.00
Fractional positions:
La 0.5000 0.5000 0.5000
N 0.0000 0.0000 0.5000
S 0.0000 0.5000 0.0000
S 0.5000 0.0000 0.0000
Br 0.0000 0.0000 0.0000

Results
The formation energy from raw total energies is 0.2886 eV per atom. As for the total energy: -4.35 eV/atom. The polymorph energy (0 for the lowest one) comes out at 0 meV per atom. As for the density: 4.9 Mg/m³.

***

Record 7
A plane-wave DFT calculation with GGA-PBE was carried out for a geometry-optimized ZnFeOs2 structure.

a b c (Å): 2.6811 2.6811 7.4808
angles (deg): 90.00 90.00 90.00
Each line ends with the local moment (μB).
Fractional positions:
Zn 0.5000 0.5000 0.2500  0.00
Os 0.0000 0.0000 0.9816  -0.10
Os 0.0000 0.0000 0.5184  -0.10
Fe 0.5000 0.5000 0.7500  1.23

Results
As for the total energy: -7.79 eV/atom. As for the density: 15.5 Mg/m³. The calculation puts the formation enthalpy at 0 K at 1.0 eV/f.u.

***

Record 8
A plane-wave DFT calculation with GGA-PBE was carried out for a geometry-optimized Tb12Ni6Hg structure.

a b c (Å): 8.4127 8.4127 8.4127
angles (deg): 109.47 109.47 109.47
Fractional positions:
Tb 0.1162 0.8136 0.3026
Tb 0.6974 0.8838 0.1864
Tb 0.1864 0.3026 0.4890
Ni 0.3764 0.5000 0.8764
Ni 0.6236 0.5000 0.1236
Tb 0.3026 0.4890 0.1864
Tb 0.8838 0.1864 0.6974
Tb 0.6974 0.5110 0.8136
Hg 0.0000 0.0000 0.0000
Ni 0.5000 0.1236 0.6236
Tb 0.8136 0.6974 0.5110
Tb 0.4890 0.1864 0.3026
Ni 0.1236 0.6236 0.5000
Ni 0.5000 0.8764 0.3764
Tb 0.3026 0.1162 0.8136
Tb 0.5110 0.8136 0.6974
Ni 0.8764 0.3764 0.5000
Tb 0.1864 0.6974 0.8838
Tb 0.8136 0.3026 0.1162

Results
As for the total energy: -5.11 eV/atom. As for the density: 8.9 Mg/m³. The calculation puts the formation enthalpy at 0 K at -6.5 eV/f.u.

***

Record 9
A plane-wave DFT calculation with GGA-PBE was carried out for a geometry-optimized Na3Ga5Sb2 structure.

a b c (Å): 6.4599 9.4335 9.4335
angles (deg): 77.09 69.98 69.98
Fractional positions:
Ga 0.8769 0.5066 0.7396
Na 0.6164 0.6204 0.1469
Sb 0.8570 0.2976 0.9884
Na 0.2500 0.0000 0.0000
Ga 0.4912 0.2588 0.2588
Ga 0.2500 0.5000 0.5000
Ga 0.1231 0.4934 0.2604
Ga 0.3769 0.7396 0.5066
Ga 0.9912 0.2588 0.2588
Na 0.1164 0.1469 0.6204
Na 0.8836 0.8531 0.3796
Sb 0.1430 0.7024 0.0116
Ga 0.0088 0.7412 0.7412
Na 0.3836 0.3796 0.8531
Na 0.7500 0.0000 0.0000
Sb 0.6430 0.0116 0.7024
Ga 0.6231 0.2604 0.4934
Ga 0.5088 0.7412 0.7412
Sb 0.3570 0.9884 0.2976
Ga 0.7500 0.5000 0.5000

Results
The formation energy from raw total energies is -0.1864 eV per atom. As for the total energy: -2.92 eV/atom. As for the density: 4.4 Mg/m³.

***

Record 10
A plane-wave DFT calculation with GGA-PBE was carried out for a geometry-optimized Nd7Dy3Tl structure.

a b c (Å): 8.6495 7.1179 7.1179
angles (deg): 120.00 90.00 90.00
Fractional positions:
Nd 0.4501 0.8309 0.6619
Nd 0.1100 0.6667 0.3333
Dy 0.7810 0.5006 0.4994
Nd 0.4501 0.3381 0.1691
Tl 0.4608 0.3333 0.6667
Nd 0.1170 0.1688 0.8312
Nd 0.1170 0.6625 0.8312
Dy 0.7810 0.5006 0.0013
Nd 0.1170 0.1688 0.3375
Dy 0.7810 0.9987 0.4994
Nd 0.4501 0.8309 0.1691

Results
As for the total energy: -4.38 eV/atom. As for the density: 7.4 Mg/m³. The calculation puts the formation enthalpy at 0 K at 1.4 eV/f.u.

***

Record 11
A plane-wave DFT calculation with GGA-PBE was carried out for a geometry-optimized Sm2TmHg5 structure.

a b c (Å): 5.1937 5.1937 8.3321
angles (deg): 108.16 108.16 90.00
Each line ends with the local moment (μB).
Fractional positions:
Hg 0.1187 0.6187 0.2374  0.00
Hg 0.6187 0.1187 0.2374  0.00
Hg 0.3813 0.8813 0.7626  0.00
Tm 0.0000 0.0000 0.0000  -0.01
Hg 0.5000 0.5000 0.0000  0.00
Sm 0.7372 0.7372 0.4743  0.05
Hg 0.8813 0.3813 0.7626  0.00
Sm 0.2628 0.2628 0.5257  0.05

Results
As for the total energy: -2.33 eV/atom. As for the density: 12.1 Mg/m³. The calculation puts the formation enthalpy at 0 K at -3.2 eV/f.u.

***

Record 12
A plane-wave DFT calculation with GGA-PBE was carried out for a geometry-optimized LaCuTc2 structure.

a b c (Å): 9.8206 9.8206 9.8206
angles (deg): 17.00 17.00 17.00
Each line ends with the local moment (μB).
Fractional positions:
Tc 0.9869 0.9869 0.9869  0.01
La 0.7508 0.7508 0.7508  -0.40
Tc 0.2511 0.2511 0.2511  0.01
Cu 0.5112 0.5112 0.5112  -0.01

Results
As for the total energy: -6.95 eV/atom. The polymorph energy (0 for the lowest one) comes out at 435 meV per atom. As for the density: 9.4 Mg/m³. The calculation puts the formation enthalpy at 0 K at 2.0 eV/f.u.

***

Record 13
A plane-wave DFT calculation with GGA-PBE was carried out for a geometry-optimized K3Mg5 structure.

a b c (Å): 7.3872 7.3872 5.2280
angles (deg): 90.00 90.00 86.39
Fractional positions:
Mg 0.0000 0.0000 0.0000
K 0.5000 0.5000 0.0000
Mg 0.7936 0.2064 0.5000
Mg 0.2064 0.7936 0.5000
K 0.7400 0.7400 0.5000
Mg 0.0000 0.5000 0.0000
K 0.2600 0.2600 0.5000
Mg 0.5000 0.0000 0.0000

Results
As for the total energy: -1.14 eV/atom. The polymorph energy (0 for the lowest one) comes out at 70 meV per atom. As for the density: 1.4 Mg/m³. The calculation puts the formation enthalpy at 0 K at 2.1 eV/f.u.

***

Record 14
A plane-wave DFT calculation with GGA-PBE was carried out for a geometry-optimized Tb3YHo2Te6 structure.

a b c (Å): 4.3397 8.7630 9.7451
angles (deg): 103.01 102.87 90.00
Fractional positions:
Te 0.0010 0.2500 0.0020
Tb 0.5000 0.5000 0.0000
Te 0.9990 0.7500 0.9980
Tb 0.1655 0.8328 0.3311
Te 0.6670 0.0854 0.3341
Ho 0.8340 0.6678 0.6679
Te 0.6677 0.5812 0.3354
Tb 0.8345 0.1672 0.6689
Te 0.3330 0.9146 0.6659
Te 0.3323 0.4188 0.6646
Y 0.5000 0.0000 0.0000
Ho 0.1660 0.3322 0.3321

Results
The formation energy from raw total energies is -1.2887 eV per atom. As for the total energy: -5.32 eV/atom. As for the density: 7.8 Mg/m³.

***

Record 15
A plane-wave DFT calculation with GGA-PBE was carried out for a geometry-optimized CsRbPt3 structure.

a b c (Å): 5.6042 7.3893 11.9413
angles (deg): 90.00 90.00 90.00
Fractional positions:
Pt 0.7481 0.5659 0.7500
Rb 0.0000 0.0000 0.5000
Pt 0.0020 0.7500 0.2598
Pt 0.2481 0.9341 0.7500
Cs 0.0001 0.2500 0.0113
Pt 0.2481 0.5659 0.7500
Pt 0.9980 0.2500 0.7402
Rb 0.5000 0.0000 0.0000
Pt 0.7481 0.9341 0.7500
Pt 0.4980 0.2500 0.7598
Pt 0.7519 0.0659 0.2500
Rb 0.5000 0.5000 0.0000
Cs 0.4999 0.7500 0.5113
Cs 0.9999 0.7500 0.9887
Pt 0.5020 0.7500 0.2402
Rb 0.0000 0.5000 0.5000
Cs 0.5001 0.2500 0.4887
Pt 0.7519 0.4341 0.2500
Pt 0.2519 0.0659 0.2500
Pt 0.2519 0.4341 0.2500

Results
As for the total energy: -3.98 eV/atom. The polymorph energy (0 for the lowest one) comes out at 0 meV per atom. As for the density: 10.8 Mg/m³. The calculation puts the formation enthalpy at 0 K at 0.0 eV/f.u.

***

Record 16
A plane-wave DFT calculation with GGA-PBE was carried out for a geometry-optimized LaF3 structure.

a b c (Å): 3.9084 3.9084 8.4039
angles (deg): 76.55 76.55 90.00
Fractional positions:
F 0.0708 0.6250 0.2500
F 0.8750 0.9292 0.7500
La 0.0000 0.0000 0.0000
F 0.5000 0.5000 0.0000
F 0.3750 0.3208 0.7500
F 0.6792 0.1250 0.2500
La 0.7500 0.2500 0.5000
F 0.2500 0.7500 0.5000

Results
The formation energy from raw total energies is -3.6914 eV per atom. As for the total energy: -6.33 eV/atom. As for the density: 5.4 Mg/m³.

***

Record 17
A plane-wave DFT calculation with GGA-PBE was carried out for a geometry-optimized PmNd3Y2Er6 structure.

a b c (Å): 6.1977 6.1977 11.7874
angles (deg): 95.02 95.02 119.99
Fractional positions:
Y 0.6668 0.3332 0.0000
Er 0.9171 0.5840 0.7517
Y 0.3332 0.6668 0.0000
Pm 0.0000 0.0000 0.0000
Er 0.2503 0.2503 0.7518
Nd 0.8332 0.1668 0.5000
Nd 0.5000 0.5000 0.5000
Nd 0.1668 0.8332 0.5000
Er 0.4160 0.0829 0.2483
Er 0.0829 0.4160 0.2483
Er 0.5840 0.9171 0.7517
Er 0.7497 0.7497 0.2482

Results
As for the total energy: -4.93 eV/atom. As for the density: 7.6 Mg/m³. The calculation puts the formation enthalpy at 0 K at 0.2 eV/f.u.

***

Record 18
A plane-wave DFT calculation with GGA-PBE was carried out for a geometry-optimized CaOs2CF structure.

a b c (Å): 3.8553 5.8826 3.8553
angles (deg): 90.00 90.00 90.00
Fractional positions:
Os 0.0000 0.0000 0.5000
C 0.0000 0.0000 0.0000
Ca 0.5000 0.5000 0.5000
F 0.0000 0.5000 0.0000
Os 0.5000 0.0000 0.0000

Results
The formation energy from raw total energies is -0.2874 eV per atom. As for the total energy: -7.40 eV/atom. As for the density: 8.6 Mg/m³.

***

Record 19
A plane-wave DFT calculation with GGA-PBE was carried out for a geometry-optimized Ti4Sb structure.

a b c (Å): 4.6111 5.5617 7.7245
angles (deg): 111.10 107.37 90.00
Fractional positions:
Ti 0.3019 0.7895 0.6038
Ti 0.1008 0.3508 0.2016
Ti 0.3019 0.3143 0.6038
Sb 0.1105 0.8605 0.2211
Ti 0.5000 0.0000 0.0000
Ti 0.6981 0.6857 0.3962
Ti 0.5000 0.5000 0.0000
Sb 0.8895 0.1395 0.7789
Ti 0.6981 0.2105 0.3962
Ti 0.8992 0.6492 0.7984

Results
The formation energy from raw total energies is -0.2485 eV per atom. As for the total energy: -7.39 eV/atom. The polymorph energy (0 for the lowest one) comes out at 0 meV per atom. As for the density: 5.9 Mg/m³.

***

Record 20
A plane-wave DFT calculation with GGA-PBE was carried out for a geometry-optimized Cs3GaAu structure.

a b c (Å): 4.9718 16.6572 16.6572
angles (deg): 90.00 90.00 90.00
Fractional positions:
Au 0.0000 0.3822 0.3822
Ga 0.5000 0.3771 0.3771
Cs 0.0000 0.6106 0.8256
Cs 0.5000 0.6744 0.1106
Cs 0.0000 0.4048 0.5952
Cs 0.5000 0.8894 0.3256
Cs 0.0000 0.8256 0.6106
Cs 0.5000 0.0952 0.0952
Cs 0.5000 0.9048 0.9048
Cs 0.0000 0.5952 0.4048
Au 0.5000 0.1178 0.8822
Cs 0.0000 0.1744 0.3894
Cs 0.5000 0.3256 0.8894
Ga 0.5000 0.6229 0.6229
Ga 0.0000 0.1229 0.8771
Cs 0.5000 0.1106 0.6744
Ga 0.0000 0.8771 0.1229
Au 0.0000 0.6178 0.6178
Cs 0.0000 0.3894 0.1744
Au 0.5000 0.8822 0.1178

Results
As for the total energy: -1.90 eV/atom. The polymorph energy (0 for the lowest one) comes out at 0 meV per atom. As for the density: 3.2 Mg/m³. The calculation puts the formation enthalpy at 0 K at -0.6 eV/f.u.

***

Record 21
A plane-wave DFT calculation with GGA-PBE was carried out for a geometry-optimized RbEr3Se4O12 structure.

a b c (Å): 7.5940 7.5940 7.5940
angles (deg): 107.44 107.44 107.44
Each line ends with the local moment (μB).
Fractional positions:
O 0.9194 0.2237 0.3749  0.00
Se 0.9327 0.0673 0.5000  -0.01
Er 0.4324 0.0000 0.5676  0.01
O 0.1161 0.8839 0.5000  0.00
Se 0.5000 0.9327 0.0673  -0.01
O 0.2237 0.3749 0.9194  0.00
O 0.8839 0.5000 0.1161  0.00
Er 0.0000 0.5676 0.4324  0.01
O 0.3749 0.9194 0.2237  0.00
O 0.7763 0.0806 0.6251  0.00
Rb 0.0000 0.0000 0.0000  0.00
O 0.6563 0.5000 0.3437  0.11
Se 0.5000 0.5000 0.5000  0.32
Er 0.5676 0.4324 0.0000  0.01
Se 0.0673 0.5000 0.9327  -0.01
O 0.6251 0.7763 0.0806  0.00
O 0.5000 0.3437 0.6563  0.11
O 0.5000 0.1161 0.8839  0.00
O 0.3437 0.6563 0.5000  0.11
O 0.0806 0.6251 0.7763  0.00

Results
The formation energy from raw total energies is -1.6323 eV per atom. As for the total energy: -6.04 eV/atom. As for the density: 5.0 Mg/m³.

***

Record 22
A plane-wave DFT calculation with GGA-PBE was carried out for a geometry-optimized AcPrTeO structure.

a b c (Å): 4.5347 4.5347 10.6902
angles (deg): 90.00 90.00 90.00
Each line ends with the local moment (μB).
Fractional positions:
Pr 0.7500 0.2500 0.5000  0.09
Te 0.2500 0.2500 0.7211  0.00
O 0.7500 0.2500 0.0000  0.00
Pr 0.2500 0.7500 0.5000  0.09
Ac 0.2500 0.2500 0.1061  0.00
Ac 0.7500 0.7500 0.8939  0.00
O 0.2500 0.7500 0.0000  0.00
Te 0.7500 0.7500 0.2789  0.00

Results
The formation energy from raw total energies is -2.0673 eV per atom. As for the total energy: -6.31 eV/atom. As for the density: 7.7 Mg/m³.